# 1
# Ti3CrB, optimized geometry, DFT PBE
# **Energy above the most stable polymorph in this dataset**: 0 meV/atom
data_Ti3CrB
_symmetry_space_group_name_H-M 'P 1'
_symmetry_Int_Tables_number 1
_cell_length_a 4.2206
_cell_length_b 4.2206
_cell_length_c 4.2206
_cell_angle_alpha 90.00
_cell_angle_beta 90.00
_cell_angle_gamma 90.00
loop_
_symmetry_equiv_pos_as_xyz
'x,y,z'
loop_
_atom_site_label
_atom_site_type_symbol
_atom_site_fract_x
_atom_site_fract_y
_atom_site_fract_z
B1 B 0.0000 0.0000 0.0000
Ti1 Ti 0.0000 0.0000 0.5000
Ti2 Ti 0.0000 0.5000 0.0000
Ti3 Ti 0.5000 0.0000 0.0000
Cr1 Cr 0.5000 0.5000 0.5000



# 2
Here is an optimized crystal structure of PaNi8B4 from Alexandria via LeMat-Bulk. Energies are from PBE.

```
data_PaNi8B4
_symmetry_space_group_name_H-M 'P 1'
_symmetry_Int_Tables_number 1
_cell_length_a 4.5465
_cell_length_b 5.8434
_cell_length_c 5.8434
_cell_angle_alpha 81.30
_cell_angle_beta 67.11
_cell_angle_gamma 67.11
loop_
_symmetry_equiv_pos_as_xyz
'x,y,z'
loop_
_atom_site_label
_atom_site_type_symbol
_atom_site_fract_x
_atom_site_fract_y
_atom_site_fract_z
Ni1 Ni 0.0000 0.6619 0.3381
Ni2 Ni 0.7275 0.7725 0.7725
Ni3 Ni 0.5000 0.2275 0.7725
Ni4 Ni 0.2725 0.2275 0.2275
Ni5 Ni 0.5000 0.7725 0.2275
Ni6 Ni 0.6619 0.3381 0.3381
Ni7 Ni 0.3381 0.6619 0.6619
Ni8 Ni 0.0000 0.3381 0.6619
B1 B 0.5000 0.5000 0.0000
B2 B 0.0000 0.0000 0.5000
B3 B 0.5000 0.0000 0.5000
B4 B 0.0000 0.5000 0.0000
Pa1 Pa 0.0000 0.0000 0.0000
```



# 3
Here is an optimized crystal structure of Na2Mg from Alexandria via LeMat-Bulk. Energies are from PBE.

```
data_Na2Mg
_symmetry_space_group_name_H-M 'P 1'
_symmetry_Int_Tables_number 1
_cell_length_a 3.3700
_cell_length_b 5.1619
_cell_length_c 23.4767
_cell_angle_alpha 90.00
_cell_angle_beta 90.00
_cell_angle_gamma 90.00
loop_
_symmetry_equiv_pos_as_xyz
'x,y,z'
loop_
_atom_site_label
_atom_site_type_symbol
_atom_site_fract_x
_atom_site_fract_y
_atom_site_fract_z
Na1 Na 0.0000 0.2500 0.1816
Na2 Na 0.5000 0.2500 0.3184
Na3 Na 0.5000 0.7500 0.5398
Na4 Na 0.0000 0.2500 0.0398
Na5 Na 0.5000 0.7500 0.6816
Na6 Na 0.0000 0.7500 0.9602
Na7 Na 0.0000 0.7500 0.8184
Na8 Na 0.5000 0.2500 0.4602
Mg1 Mg 0.5000 0.2500 0.8934
Mg2 Mg 0.0000 0.2500 0.6066
Mg3 Mg 0.0000 0.7500 0.3934
Mg4 Mg 0.5000 0.7500 0.1066
```



What did we get for formation enthalpy at 0 K? Answer: 0.212; -0.192; 0.166 eV per atom, in the order shown.
What did we get for total energy? Answer: -7.785; -6.534; -1.245 eV per atom, in the order shown.